# 1
A relaxed Pr4CO3 crystal, computed with GGA-PBE.

a = 6.341 Å, b = 7.364 Å, c = 6.349 Å
α = 90.00°, β = 109.51°, γ = 90.00°
Space group P2/c (No. 13)
Symmetry-distinct sites (fractional):
Pr: 0.247 0.121 0.000 x4
Pr: 0.248 0.371 0.496 x4
C: 0.000 0.131 0.250 x2
O: 0.000 0.379 0.750 x2
O: 0.500 0.132 0.750 x2
O: 0.500 0.378 0.250 x2

Summary:
**Uncorrected formation energy**: -2.124 eV/atom

---

# 2
A relaxed Pr4CO2 crystal, computed with GGA-PBE.

a = 7.524 Å, b = 7.524 Å, c = 10.607 Å
α = 90.00°, β = 90.00°, γ = 90.00°
Space group P4_122 (No. 91)
Symmetry-distinct sites (fractional):
Pr: 0.002 0.243 0.247 x8
Pr: 0.242 0.480 0.996 x8
C: 0.243 0.500 0.750 x4
O: 0.000 0.245 0.000 x4
O: 0.264 0.264 0.375 x4

Summary:
**Uncorrected formation energy**: -1.502 eV/atom

---

# 3
A relaxed PrCO4 crystal, computed with GGA-PBE.

a = 4.504 Å, b = 6.245 Å, c = 6.725 Å
α = 106.57°, β = 106.55°, γ = 105.55°
Space group P-1 (No. 2)
Symmetry-distinct sites (fractional):
Pr: 0.068 0.343 0.248 x2
C: 0.340 0.244 0.805 x2
O: 0.155 0.289 0.647 x2
O: 0.189 0.101 0.882 x2
O: 0.338 0.655 0.114 x2
O: 0.374 0.655 0.621 x2

Summary:
**Uncorrected formation energy**: -2.045 eV/atom
**Energy above the lowest structure with this stoichiometry**: 0.0 meV per atom

---

Across the entries above, calculated density takes the values 7.4 6.7 4.5 g/cm³, respectively.